# 1
First-principles (PBE) data for an optimized crystal structure of CdPb3S4, as listed in Alexandria.

Calculated values
Excess energy over the best structure of this formula in the dataset   0.0000 eV per atom
SG   P4/mmm

Cell: 4.187 4.187 11.686 Å, 90.00 90.00 90.00°
Element x y z (fractional)
Cd  0.000  0.000  0.000
Pb  0.000  0.000  0.500
Pb  0.500  0.500  0.241
Pb  0.500  0.500  0.759
S  0.000  0.000  0.232
S  0.000  0.000  0.768
S  0.500  0.500  0.000
S  0.500  0.500  0.500

# 2
First-principles (PBE) data for an optimized crystal structure of CdPb4S5, as listed in Alexandria.

Calculated values
SG   I4

Cell: 7.228 7.228 7.228 Å, 99.87 99.87 131.09°
Element x y z (fractional)
Cd  0.000  0.000  0.000
Pb  0.177  0.576  0.805
Pb  0.372  0.177  0.601
Pb  0.576  0.771  0.399
Pb  0.771  0.372  0.195
S  0.061  0.243  0.377
S  0.243  0.866  0.182
S  0.457  0.457  0.000
S  0.684  0.061  0.818
S  0.866  0.684  0.623

| no. | raw formation energy (eV per atom) | mass density (g cm⁻³) |
| --- | --- | --- |
| 1 | -0.5017 | 6.99 |
| 2 | -0.5202 | 7.06 |